Below is La7Nd2Sm after structural relaxation, with properties calculated at the PBE-GGA level.

Calculated values
Calculated formation energy = 0.3099 eV per atom
Total moment = 0.00 μB/f.u.
Space group = Cmmm, No. 65
Distance to the lowest polymorph of the same formula = 0.000 eV/atom

Unit cell a=3.578 b=10.586 c=10.586 alpha=109.44 beta=90.00 gamma=90.00
Fractional positions:
1 La 0.000 0.320 0.680
2 La 0.500 0.500 0.500
3 La 0.500 0.126 0.385
4 La 0.500 0.874 0.615
5 La 0.000 0.680 0.320
6 La 0.500 0.385 0.126
7 La 0.500 0.615 0.874
8 Nd 0.500 0.832 0.168
9 Nd 0.500 0.168 0.832
10 Sm 0.000 0.000 0.000

Below is La4NdSm4 after structural relaxation, with properties calculated at the PBE-GGA level.

Calculated values
Calculated formation energy = 0.0197 eV per atom
Total moment = 0.00 μB/f.u.
Space group = I4/mmm, No. 139

Unit cell a=5.232 b=8.233 c=8.233 alpha=84.21 beta=71.47 gamma=71.47
Fractional positions:
1 Sm 0.000 0.664 0.335
2 Sm 0.336 0.665 0.664
3 Sm 0.000 0.336 0.665
4 Sm 0.664 0.335 0.336
5 La 0.333 0.334 0.000
6 La 0.667 0.000 0.666
7 La 0.333 0.000 0.334
8 La 0.667 0.666 0.000
9 Nd 0.000 0.000 0.000

Below is La4Nd4Sm after structural relaxation, with properties calculated at the PBE-GGA level.

Calculated values
Calculated formation energy = 0.0157 eV per atom
Total moment = 0.00 μB/f.u.
Space group = I4/mmm, No. 139

Unit cell a=5.260 b=8.264 c=8.264 alpha=84.19 beta=71.44 gamma=71.44
Fractional positions:
1 La 0.333 0.000 0.333
2 La 0.333 0.333 0.000
3 La 0.667 0.000 0.667
4 La 0.667 0.667 0.000
5 Nd 0.000 0.334 0.666
6 Nd 0.334 0.666 0.666
7 Nd 0.000 0.666 0.334
8 Nd 0.666 0.334 0.334
9 Sm 0.000 0.000 0.000

Number 1: Fermi-level density of states 16.4 states/eV/cell. Number 2: Fermi-level density of states 16.2 states/eV/cell. Number 3: Fermi-level density of states 16.6 states/eV/cell.